## LuNiSbRh (PBE)

Data for a relaxed structure of LuNiSbRh.

a b c (Å): 6.5129 6.5129 6.5129
angles (deg): 90.00 90.00 90.00
Positions (direct):
Lu 0.0000 0.0000 0.0000
Lu 0.0000 0.5000 0.5000
Lu 0.5000 0.0000 0.5000
Lu 0.5000 0.5000 0.0000
Ni 0.2500 0.2500 0.2500
Ni 0.2500 0.7500 0.7500
Ni 0.7500 0.2500 0.7500
Ni 0.7500 0.7500 0.2500
Sb 0.0000 0.0000 0.5000
Sb 0.0000 0.5000 0.0000
Sb 0.5000 0.0000 0.0000
Sb 0.5000 0.5000 0.5000
Rh 0.2500 0.2500 0.7500
Rh 0.2500 0.7500 0.2500
Rh 0.7500 0.2500 0.2500
Rh 0.7500 0.7500 0.7500

Properties
SG: F-43m
Magnetization: 0.00 μB/atom
E_tot: -97.1 eV/cell
ΔE_f (raw): -0.62 eV/atom



## KBaPt2Cl (PBE)

Data for a relaxed structure of KBaPt2Cl.

a b c (Å): 5.1141 5.1141 5.5140
angles (deg): 90.00 90.00 90.00
Positions (direct):
K 0.0000 0.0000 0.0000
Ba 0.5000 0.5000 0.0000
Pt 0.0000 0.5000 0.5000
Pt 0.5000 0.0000 0.5000
Cl 0.5000 0.5000 0.5000

Properties
SG: P4/mmm
Magnetization: 0.00 μB/atom
E_tot: -16.6 eV/cell
ΔE_f (raw): 0.08 eV/atom



## Pm4Hg2Ru (PBE)

Data for a relaxed structure of Pm4Hg2Ru.

a b c (Å): 6.0664 6.5876 10.2076
angles (deg): 90.00 103.10 90.00
Positions (direct):
Pm 0.1605 0.2500 0.0938
Pm 0.2588 0.0059 0.7462
Pm 0.2588 0.4941 0.7462
Pm 0.2901 0.7500 0.4288
Pm 0.7099 0.2500 0.5712
Pm 0.7412 0.5059 0.2538
Pm 0.7412 0.9941 0.2538
Pm 0.8395 0.7500 0.9062
Hg 0.1667 0.2500 0.4413
Hg 0.3818 0.7500 0.0182
Hg 0.6182 0.2500 0.9818
Hg 0.8333 0.7500 0.5587
Ru 0.0651 0.7500 0.1769
Ru 0.9349 0.2500 0.8231

Properties
SG: P2_1/m
Offset from the most stable computed form: 0.00 eV per formula unit
Magnetization: 0.00 μB/atom
E_tot: -61.3 eV/cell



## VTe4 (PBE)

Data for a relaxed structure of VTe4.

a b c (Å): 8.1213 8.1213 6.4941
angles (deg): 90.02 90.02 135.33
Positions (direct):
V 0.0442 0.9558 0.7500
V 0.9558 0.0442 0.2500
Te 0.0321 0.4446 0.2953
Te 0.2176 0.3356 0.9302
Te 0.3356 0.2176 0.4302
Te 0.4446 0.0321 0.7953
Te 0.5554 0.9679 0.2047
Te 0.6644 0.7824 0.5698
Te 0.7824 0.6644 0.0698
Te 0.9679 0.5554 0.7047

Properties
SG: C2/c
Magnetization: 0.12 μB/atom
E_tot: -44.1 eV/cell
ΔE_f (raw): -0.07 eV/atom



## TiBS4 (PBE)

Data for a relaxed structure of TiBS4.

a b c (Å): 11.8917 3.6818 5.4199
angles (deg): 90.00 110.61 90.00
Positions (direct):
Ti 0.0000 0.0000 0.0000
Ti 0.5000 0.5000 0.0000
B 0.0000 0.5000 0.5000
B 0.5000 0.0000 0.5000
S 0.1013 0.5000 0.3355
S 0.1725 0.0000 0.8967
S 0.3275 0.5000 0.1033
S 0.3987 0.0000 0.6645
S 0.6013 0.0000 0.3355
S 0.6725 0.5000 0.8967
S 0.8275 0.0000 0.1033
S 0.8987 0.5000 0.6645

Properties
SG: C2/m
Magnetization: 0.00 μB/atom
E_tot: -65.8 eV/cell
ΔE_f (raw): -0.30 eV/atom



## CeMg2InAu4 (PBE)

Data for a relaxed structure of CeMg2InAu4.

a b c (Å): 9.5025 9.5025 9.5025
angles (deg): 28.33 28.33 28.33
Positions (direct):
Ce 0.0000 0.0000 0.0000
Mg 0.2417 0.2417 0.2417
Mg 0.7583 0.7583 0.7583
In 0.5000 0.5000 0.5000
Au 0.1201 0.1201 0.1201
Au 0.3908 0.3908 0.3908
Au 0.6092 0.6092 0.6092
Au 0.8799 0.8799 0.8799

Properties
SG: R-3m
Magnetization: 0.11 μB/atom
E_tot: -29.1 eV/cell



## LaNdZn2 (PBE)

Data for a relaxed structure of LaNdZn2.

a b c (Å): 5.2614 5.2614 3.7318
angles (deg): 90.00 90.00 90.00
Positions (direct):
La 0.0000 0.0000 0.0000
Nd 0.5000 0.5000 0.0000
Zn 0.0000 0.5000 0.5000
Zn 0.5000 0.0000 0.5000

Properties
SG: P4/mmm
Offset from the most stable computed form: 0.01 eV per formula unit
Magnetization: 0.00 μB/atom
E_tot: -13.5 eV/cell



## Tb2Er5Tm2 (PBE)

Data for a relaxed structure of Tb2Er5Tm2.

a b c (Å): 3.4683 8.3173 10.1552
angles (deg): 76.74 80.66 78.32
Positions (direct):
Tb 0.0715 0.4948 0.3259
Tb 0.9285 0.5052 0.6741
Er 0.1463 0.8558 0.7897
Er 0.3763 0.8301 0.4443
Er 0.5000 0.5000 0.0000
Er 0.6237 0.1699 0.5557
Er 0.8537 0.1442 0.2103
Tm 0.4416 0.1772 0.8918
Tm 0.5584 0.8228 0.1082

Properties
SG: P-1
Offset from the most stable computed form: 0.00 eV per formula unit
Magnetization: 0.00 μB/atom
E_tot: -40.3 eV/cell



> The lowest E_tot belongs to which entry?

LuNiSbRh



Copy entry 6 word for word.
## CeMg2InAu4 (PBE)

Data for a relaxed structure of CeMg2InAu4.

a b c (Å): 9.5025 9.5025 9.5025
angles (deg): 28.33 28.33 28.33
Positions (direct):
Ce 0.0000 0.0000 0.0000
Mg 0.2417 0.2417 0.2417
Mg 0.7583 0.7583 0.7583
In 0.5000 0.5000 0.5000
Au 0.1201 0.1201 0.1201
Au 0.3908 0.3908 0.3908
Au 0.6092 0.6092 0.6092
Au 0.8799 0.8799 0.8799

Properties
SG: R-3m
Magnetization: 0.11 μB/atom
E_tot: -29.1 eV/cell



> The highest E_tot belongs to which entry?

LaNdZn2



> Among the records above, which one has the highest magnetization?

VTe4